No. 1
Entry from Alexandria: an optimized crystal structure of CsPt3Cl (PBE).

a b c (Å): 4.852 4.852 4.852
angles (deg): 90.00 90.00 90.00
Positions (direct):
Cs (0.500, 0.500, 0.500)
Pt (0.000, 0.000, 0.500)
Pt (0.000, 0.500, 0.000)
Cl (0.000, 0.000, 0.000)
Pt (0.500, 0.000, 0.000)

## Properties
total moment: 0.000 μB/cell
formation energy (no corrections): 838 meV per atom
excess energy over the best structure of this formula in the dataset: 0 meV/atom
space-group type: Pm-3m

***

No. 2
Entry from Alexandria: an optimized crystal structure of Si2MoHPb (PBE).

a b c (Å): 5.281 3.468 5.281
angles (deg): 90.00 90.00 90.00
Last column: magnetic moment on the atom in μB.
Positions (direct):
Mo (0.500, 0.500, 0.500)  2.51
Pb (0.000, 0.000, 0.000)  0.03
Si (0.500, 0.000, 0.000)  -0.06
H (0.000, 0.500, 0.000)  0.01
Si (0.000, 0.000, 0.500)  -0.04

## Properties
total moment: 2.836 μB/cell
total energy: -21.9 eV/cell
space-group type: P4/mmm

***

Q: What is the total moment in the first record?
A: 0.000 μB/cell